1.
Density functional theory data (PBE) for an optimized crystal structure of NaSi3As.

**Energy relative to the lowest polymorph listed for this composition**: 0.0000 eV/atom
**Raw total energy**: -3.599 eV per atom
**SG**: Pm-3m
**Formation energy from raw total energies**: 0.848 eV per atom
**Spin magnetization**: 0.0 μB per formula unit

Cell lengths 4.965, 4.965, 4.965 Å; angles 90.00, 90.00, 90.00 degrees
Sites, in units of the cell vectors:
Si1 0.000 0.000 0.500
Si2 0.500 0.000 0.000
Na1 0.500 0.500 0.500
As1 0.000 0.000 0.000
Si3 0.000 0.500 0.000

=====

2.
Density functional theory data (PBE) for an optimized crystal structure of NaSiSn2As.

**Raw total energy**: -3.409 eV per atom
**SG**: P4/mmm
**Formation energy from raw total energies**: 0.470 eV per atom
**Spin magnetization**: 0.0 μB per formula unit

Cell lengths 5.498, 4.973, 5.498 Å; angles 90.00, 90.00, 90.00 degrees
Sites, in units of the cell vectors:
Na1 0.500 0.500 0.500
As1 0.000 0.000 0.000
Si1 0.000 0.500 0.000
Sn1 0.500 0.000 0.000
Sn2 0.000 0.000 0.500